Entry 1:
This record from the Alexandria database describes an optimized crystal structure of NpSbRu2. The functional is GGA-PBE.

abc: 4.4217 4.4217 3.7292
angles: 90.00 90.00 90.00
Space group P4/mmm (No. 123)
One atom of each set of equivalent atoms:
Np: 0.0000 0.0000 0.0000 x1
Sb: 0.5000 0.5000 0.0000 x1
Ru: 0.0000 0.5000 0.5000 x2

Values from the calculation:
* energy above the most stable polymorph in this dataset: 0.043 eV/atom
* size of the total moment: 2.9 μB/cell
* ΔE_f (raw): -0.275 eV/f.u.


Entry 2:
This record from the Alexandria database describes an optimized crystal structure of Y2HgPb. The functional is GGA-PBE.

abc: 4.5125 4.5125 21.2150
angles: 90.00 90.00 120.00
Space group R3m (No. 160, hexagonal axes)
One atom of each set of equivalent atoms:
Y: 0.0000 0.0000 0.0000 x3
Y: 0.0000 0.0000 0.1775 x3
Hg: 0.0000 0.0000 0.4217 x3
Pb: 0.0000 0.0000 0.5873 x3

Values from the calculation:
* size of the total moment: 0.0 μB/cell
* electronic total energy: -54.71 eV per cell


Entry 3:
This record from the Alexandria database describes an optimized crystal structure of Tl2PW. The functional is GGA-PBE.

abc: 6.4170 9.6551 2.9478
angles: 90.00 112.89 90.00
Space group C2/m (No. 12)
One atom of each set of equivalent atoms:
Tl: 0.2500 0.2500 0.0000 x4
P: 0.0000 0.0000 0.5000 x2
W: 0.0000 0.5000 0.5000 x2

Values from the calculation:
* energy above the most stable polymorph in this dataset: 0.916 eV/atom
* size of the total moment: 0.7 μB/cell


Entry 4:
This record from the Alexandria database describes an optimized crystal structure of Ca2NdCrN4. The functional is GGA-PBE.

abc: 7.3458 6.7232 5.2924
angles: 90.00 90.00 90.00
Space group Pmn2_1 (No. 31)
One atom of each set of equivalent atoms:
Ca: 0.2437 0.1610 0.0000 x4
Nd: 0.0000 0.3700 0.5017 x2
Cr: 0.0000 0.6796 0.0408 x2
N: 0.0000 0.4096 0.9779 x2
N: 0.0000 0.6910 0.3756 x2
N: 0.2114 0.8049 0.9573 x4

Values from the calculation:
* size of the total moment: 2.0 μB/cell
* ΔE_f (raw): -7.493 eV/f.u.


Entry 5:
This record from the Alexandria database describes an optimized crystal structure of HfTiNbAg. The functional is GGA-PBE.

abc: 2.9405 2.9405 18.5097
angles: 90.00 90.00 90.00
Space group I4mm (No. 107)
One atom of each set of equivalent atoms:
Hf: 0.0000 0.0000 0.0000 x2
Ti: 0.0000 0.0000 0.3873 x2
Nb: 0.0000 0.0000 0.7788 x2
Ag: 0.0000 0.0000 0.6231 x2

Values from the calculation:
* energy above the most stable polymorph in this dataset: 0.161 eV/atom
* size of the total moment: 0.0 μB/cell


Entry 6:
This record from the Alexandria database describes an optimized crystal structure of RbOsW2C. The functional is GGA-PBE.

abc: 4.7208 4.7208 4.6451
angles: 90.00 90.00 90.00
Space group P4/mmm (No. 123)
One atom of each set of equivalent atoms:
Rb: 0.0000 0.0000 0.0000 x1
Os: 0.0000 0.0000 0.5000 x1
W: 0.0000 0.5000 0.0000 x2
C: 0.5000 0.5000 0.5000 x1

Values from the calculation:
* size of the total moment: 0.0 μB/cell
* electronic total energy: -20.76 eV per cell


Entry 7:
This record from the Alexandria database describes an optimized crystal structure of ScIBr3. The functional is GGA-PBE.

abc: 7.0376 7.7811 8.0533
angles: 106.36 95.11 91.47
Space group P1 (No. 1)
One atom of each set of equivalent atoms:
Sc: 0.0000 0.0000 0.0000 x1
Sc: 0.4903 0.8172 0.7844 x1
I: 0.3198 0.7531 0.4115 x1
I: 0.3294 0.1596 0.8923 x1
Br: 0.1525 0.0319 0.3391 x1
Br: 0.1841 0.6898 0.8886 x1
Br: 0.5233 0.5073 0.5526 x1
Br: 0.7082 0.7893 0.0524 x1
Br: 0.7962 0.9735 0.6994 x1
Br: 0.8985 0.2969 0.1682 x1

Values from the calculation:
* energy above the most stable polymorph in this dataset: 0.058 eV/atom
* size of the total moment: 0.0 μB/cell
* ΔE_f (raw): -6.395 eV/f.u.


Entry 8:
This record from the Alexandria database describes an optimized crystal structure of Tb2Pr8Er3. The functional is GGA-PBE.

abc: 7.7551 5.7577 10.9829
angles: 90.00 110.67 90.00
Space group P2/m (No. 10)
One atom of each set of equivalent atoms:
Tb: 0.2402 0.0000 0.4787 x2
Pr: 0.1298 0.5000 0.2599 x2
Pr: 0.1911 0.0000 0.7901 x2
Pr: 0.3268 0.5000 0.6525 x2
Pr: 0.4012 0.0000 0.2097 x2
Er: 0.0000 0.0000 0.0000 x1
Er: 0.2852 0.5000 0.9999 x2

Values from the calculation:
* size of the total moment: 0.0 μB/cell
* electronic total energy: -58.64 eV per cell


Entry 9:
This record from the Alexandria database describes an optimized crystal structure of Er6IrRu5. The functional is GGA-PBE.

abc: 4.7675 14.2866 6.7614
angles: 90.00 90.00 90.00
Space group Cmmm (No. 65)
One atom of each set of equivalent atoms:
Er: 0.0000 0.0000 0.2488 x4
Er: 0.0000 0.3327 0.2492 x8
Ir: 0.0000 0.5000 0.5000 x2
Ru: 0.0000 0.1659 0.0000 x4
Ru: 0.0000 0.1667 0.5000 x4
Ru: 0.0000 0.5000 0.0000 x2

Values from the calculation:
* size of the total moment: 0.0 μB/cell
* electronic total energy: -176.83 eV per cell


Entry 10:
This record from the Alexandria database describes an optimized crystal structure of PmHg2Pd3. The functional is GGA-PBE.

abc: 4.7427 4.7427 12.3495
angles: 90.00 90.00 120.00
Space group P6_3/mmc (No. 194)
One atom of each set of equivalent atoms:
Pm: 0.0000 0.0000 0.2500 x2
Hg: 0.3333 0.6667 0.0922 x4
Pd: 0.0000 0.0000 0.0000 x2
Pd: 0.3333 0.6667 0.6349 x4

Values from the calculation:
* size of the total moment: 0.0 μB/cell
* electronic total energy: -47.85 eV per cell


Entry 11:
This record from the Alexandria database describes an optimized crystal structure of LaPm2TcO8. The functional is GGA-PBE.

abc: 7.3186 7.3247 7.0455
angles: 90.00 90.00 90.00
Space group Cmmm (No. 65)
One atom of each set of equivalent atoms:
La: 0.0000 0.0000 0.0000 x2
Pm: 0.0000 0.5000 0.2522 x4
Tc: 0.0000 0.0000 0.5000 x2
O: 0.0000 0.2590 0.5000 x4
O: 0.0000 0.3121 0.0000 x4
O: 0.1799 0.0000 0.3019 x8

Values from the calculation:
* size of the total moment: 0.0 μB/cell
* ΔE_f (raw): -30.788 eV/f.u.


Entry 12:
This record from the Alexandria database describes an optimized crystal structure of ScPaTl. The functional is GGA-PBE.

abc: 3.1879 3.1879 14.5645
angles: 90.00 90.00 90.00
Space group I4mm (No. 107)
One atom of each set of equivalent atoms:
Sc: 0.0000 0.0000 0.0000 x2
Pa: 0.0000 0.0000 0.3352 x2
Tl: 0.0000 0.0000 0.6582 x2

Values from the calculation:
* energy above the most stable polymorph in this dataset: 0.000 eV/atom
* size of the total moment: 0.0 μB/cell